Material: CrTcBi2
Method: DFT, PBE
State: relaxed

Properties
Energy relative to the lowest polymorph listed for this composition ... 819 meV per atom
Energy of formation from the pure elements ... 1.422 eV per atom
Theoretical density ... 8.1 Mg/m³

The structure in CIF format:
```
data_CrTcBi2
_symmetry_space_group_name_H-M 'I -4 2 d'
_symmetry_Int_Tables_number 122
_symmetry_space_group_name_Hall 'I -4 2bw'
_cell_length_a 6.3607
_cell_length_b 6.3607
_cell_length_c 11.5612
_cell_angle_alpha 90.00
_cell_angle_beta 90.00
_cell_angle_gamma 90.00
loop_
_atom_site_label
_atom_site_fract_x
_atom_site_fract_y
_atom_site_fract_z
Cr1 0.0000 0.0000 0.0000
Tc1 0.0000 0.0000 0.5000
Bi1 0.2483 0.2500 0.1250
```